(1)
Computed, not measured: a relaxed structure of Ti5Re4Ir at the GGA-PBE level of DFT.

Geometry as CIF:
```
data_Ti5Re4Ir
_chemical_formula_sum 'Ti5 Re4 Ir1'
_cell_length_a 3.1092
_cell_length_b 3.1092
_cell_length_c 15.6306
_cell_angle_alpha 90.00
_cell_angle_beta 90.00
_cell_angle_gamma 90.00
_symmetry_space_group_name_H-M 'P 4/m m m'
_symmetry_Int_Tables_number 123
_symmetry_space_group_name_Hall '-P 4 2'
loop_
_atom_site_label
_atom_site_fract_x
_atom_site_fract_y
_atom_site_fract_z
Ti1 0.0000 0.0000 0.0000
Ti2 0.0000 0.0000 0.2004
Ti3 0.0000 0.0000 0.3970
Re1 0.5000 0.5000 0.0998
Re2 0.5000 0.5000 0.3007
Ir1 0.5000 0.5000 0.5000
```

As for the formation enthalpy at 0 K: -0.53 eV per atom. The total energy is -10.34 eV/atom.

(2)
Computed, not measured: a relaxed structure of Ti2ReIr at the GGA-PBE level of DFT.

Geometry as CIF:
```
data_Ti2ReIr
_chemical_formula_sum 'Ti2 Re1 Ir1'
_cell_length_a 3.1139
_cell_length_b 3.1139
_cell_length_c 6.2144
_cell_angle_alpha 90.00
_cell_angle_beta 90.00
_cell_angle_gamma 90.00
_symmetry_space_group_name_H-M 'P 4/m m m'
_symmetry_Int_Tables_number 123
_symmetry_space_group_name_Hall '-P 4 2'
loop_
_atom_site_label
_atom_site_fract_x
_atom_site_fract_y
_atom_site_fract_z
Ti1 0.0000 0.0000 0.2435
Re1 0.5000 0.5000 0.0000
Ir1 0.5000 0.5000 0.5000
```

As for the formation enthalpy at 0 K: -0.73 eV per atom. For the offset from the most stable computed form, the calculation gives 22.3 meV per atom. The total energy is -10.00 eV/atom.

(3)
Computed, not measured: a relaxed structure of Ti2ReIr at the GGA-PBE level of DFT.

Geometry as CIF:
```
data_Ti2ReIr
_chemical_formula_sum 'Ti8 Re4 Ir4'
_cell_length_a 5.6778
_cell_length_b 5.6778
_cell_length_c 11.1773
_cell_angle_alpha 90.00
_cell_angle_beta 90.00
_cell_angle_gamma 90.00
_symmetry_space_group_name_H-M 'I -4 2 d'
_symmetry_Int_Tables_number 122
_symmetry_space_group_name_Hall 'I -4 2bw'
loop_
_atom_site_label
_atom_site_fract_x
_atom_site_fract_y
_atom_site_fract_z
Ti1 0.2468 0.2500 0.1250
Re1 0.0000 0.0000 0.0000
Ir1 0.0000 0.0000 0.5000
```

As for the formation enthalpy at 0 K: 1.13 eV per atom. For the offset from the most stable computed form, the calculation gives 1882.8 meV per atom. The total energy is -8.14 eV/atom.

(4)
Computed, not measured: a relaxed structure of TiReIr2 at the GGA-PBE level of DFT.

Geometry as CIF:
```
data_TiReIr2
_chemical_formula_sum 'Ti1 Re1 Ir2'
_cell_length_a 3.9180
_cell_length_b 3.9180
_cell_length_c 3.8463
_cell_angle_alpha 90.00
_cell_angle_beta 90.00
_cell_angle_gamma 90.00
_symmetry_space_group_name_H-M 'P 4/m m m'
_symmetry_Int_Tables_number 123
_symmetry_space_group_name_Hall '-P 4 2'
loop_
_atom_site_label
_atom_site_fract_x
_atom_site_fract_y
_atom_site_fract_z
Ti1 0.0000 0.0000 0.0000
Re1 0.5000 0.5000 0.0000
Ir1 0.0000 0.5000 0.5000
```

As for the formation enthalpy at 0 K: -0.48 eV per atom. For the offset from the most stable computed form, the calculation gives 0.0 meV per atom. The total energy is -10.00 eV/atom.

(5)
Computed, not measured: a relaxed structure of TiReIr2 at the GGA-PBE level of DFT.

Geometry as CIF:
```
data_TiReIr2
_chemical_formula_sum 'Ti4 Re4 Ir8'
_cell_length_a 6.2449
_cell_length_b 6.2449
_cell_length_c 6.2449
_cell_angle_alpha 90.00
_cell_angle_beta 90.00
_cell_angle_gamma 90.00
_symmetry_space_group_name_H-M 'F m -3 m'
_symmetry_Int_Tables_number 225
_symmetry_space_group_name_Hall '-F 4 2 3'
loop_
_atom_site_label
_atom_site_fract_x
_atom_site_fract_y
_atom_site_fract_z
Ti1 0.0000 0.0000 0.0000
Re1 0.0000 0.0000 0.5000
Ir1 0.2500 0.2500 0.2500
```

As for the formation enthalpy at 0 K: -0.01 eV per atom. For the offset from the most stable computed form, the calculation gives 479.0 meV per atom. The total energy is -9.52 eV/atom.

(6)
Computed, not measured: a relaxed structure of Ti4ReIr3 at the GGA-PBE level of DFT.

Geometry as CIF:
```
data_Ti4ReIr3
_chemical_formula_sum 'Ti8 Re2 Ir6'
_cell_length_a 4.4379
_cell_length_b 4.4379
_cell_length_c 12.2257
_cell_angle_alpha 90.00
_cell_angle_beta 90.00
_cell_angle_gamma 90.00
_symmetry_space_group_name_H-M 'I 4/m m m'
_symmetry_Int_Tables_number 139
_symmetry_space_group_name_Hall '-I 4 2'
loop_
_atom_site_label
_atom_site_fract_x
_atom_site_fract_y
_atom_site_fract_z
Ti1 0.0000 0.5000 0.1248
Re1 0.0000 0.0000 0.0000
Ir1 0.0000 0.0000 0.2536
Ir2 0.0000 0.0000 0.5000
```

As for the formation enthalpy at 0 K: -0.78 eV per atom. The total energy is -9.60 eV/atom.

(7)
Computed, not measured: a relaxed structure of TiRe2Ir at the GGA-PBE level of DFT.

Geometry as CIF:
```
data_TiRe2Ir
_chemical_formula_sum 'Ti4 Re8 Ir4'
_cell_length_a 5.7087
_cell_length_b 5.7087
_cell_length_c 11.4115
_cell_angle_alpha 90.00
_cell_angle_beta 90.00
_cell_angle_gamma 90.00
_symmetry_space_group_name_H-M 'I -4 2 d'
_symmetry_Int_Tables_number 122
_symmetry_space_group_name_Hall 'I -4 2bw'
loop_
_atom_site_label
_atom_site_fract_x
_atom_site_fract_y
_atom_site_fract_z
Ti1 0.0000 0.0000 0.0000
Re1 0.2274 0.2500 0.6250
Ir1 0.0000 0.0000 0.5000
```

As for the formation enthalpy at 0 K: 1.60 eV per atom. For the offset from the most stable computed form, the calculation gives 1538.2 meV per atom. The total energy is -8.81 eV/atom.

(8)
Computed, not measured: a relaxed structure of TiVReIr at the GGA-PBE level of DFT.

Geometry as CIF:
```
data_TiVReIr
_chemical_formula_sum 'Ti4 V4 Re4 Ir4'
_cell_length_a 6.1430
_cell_length_b 6.1430
_cell_length_c 6.1430
_cell_angle_alpha 90.00
_cell_angle_beta 90.00
_cell_angle_gamma 90.00
_symmetry_space_group_name_H-M 'F -4 3 m'
_symmetry_Int_Tables_number 216
_symmetry_space_group_name_Hall 'F -4 2 3'
loop_
_atom_site_label
_atom_site_fract_x
_atom_site_fract_y
_atom_site_fract_z
Ti1 0.0000 0.0000 0.0000
V1 0.0000 0.0000 0.5000
Re1 0.2500 0.2500 0.7500
Ir1 0.2500 0.2500 0.2500
```

As for the formation enthalpy at 0 K: -0.52 eV per atom. The total energy is -10.10 eV/atom.

(9)
Computed, not measured: a relaxed structure of TlRe2Ir at the GGA-PBE level of DFT.

Geometry as CIF:
```
data_TlRe2Ir
_chemical_formula_sum 'Tl2 Re4 Ir2'
_cell_length_a 5.3523
_cell_length_b 8.6117
_cell_length_c 2.8644
_cell_angle_alpha 90.00
_cell_angle_beta 90.00
_cell_angle_gamma 90.00
_symmetry_space_group_name_H-M 'C m m m'
_symmetry_Int_Tables_number 65
_symmetry_space_group_name_Hall '-C 2 2'
loop_
_atom_site_label
_atom_site_fract_x
_atom_site_fract_y
_atom_site_fract_z
Tl1 0.0000 0.0000 0.0000
Re1 0.2500 0.2500 0.5000
Ir1 0.0000 0.5000 0.0000
```

As for the formation enthalpy at 0 K: 0.85 eV per atom. For the offset from the most stable computed form, the calculation gives 442.2 meV per atom. The total energy is -8.18 eV/atom.

(10)
Computed, not measured: a relaxed structure of TlReIr2 at the GGA-PBE level of DFT.

Geometry as CIF:
```
data_TlReIr2
_chemical_formula_sum 'Tl1 Re1 Ir2'
_cell_length_a 4.8362
_cell_length_b 4.8362
_cell_length_c 2.8423
_cell_angle_alpha 90.00
_cell_angle_beta 90.00
_cell_angle_gamma 90.00
_symmetry_space_group_name_H-M 'P 4/m m m'
_symmetry_Int_Tables_number 123
_symmetry_space_group_name_Hall '-P 4 2'
loop_
_atom_site_label
_atom_site_fract_x
_atom_site_fract_y
_atom_site_fract_z
Tl1 0.0000 0.0000 0.0000
Re1 0.5000 0.5000 0.0000
Ir1 0.0000 0.5000 0.5000
```

As for the formation enthalpy at 0 K: 0.67 eV per atom. For the offset from the most stable computed form, the calculation gives 477.2 meV per atom. The total energy is -7.47 eV/atom.

(11)
Computed, not measured: a relaxed structure of TlReIr2 at the GGA-PBE level of DFT.

Geometry as CIF:
```
data_TlReIr2
_chemical_formula_sum 'Tl1 Re1 Ir2'
_cell_length_a 2.8883
_cell_length_b 4.7356
_cell_length_c 4.8393
_cell_angle_alpha 90.00
_cell_angle_beta 90.00
_cell_angle_gamma 90.00
_symmetry_space_group_name_H-M 'P m m m'
_symmetry_Int_Tables_number 47
loop_
_symmetry_equiv_pos_as_xyz
'x,y,z'
'-x,-y,-z'
'-x,-y,z'
'x,y,-z'
'x,-y,-z'
'-x,y,z'
'-x,y,-z'
'x,-y,z'
loop_
_atom_site_label
_atom_site_fract_x
_atom_site_fract_y
_atom_site_fract_z
Tl1 0.0000 0.0000 0.0000
Re1 0.5000 0.0000 0.5000
Ir1 0.0000 0.5000 0.5000
Ir2 0.5000 0.5000 0.0000
```

As for the formation enthalpy at 0 K: 0.80 eV per atom. For the offset from the most stable computed form, the calculation gives 606.2 meV per atom. The total energy is -7.34 eV/atom.

(12)
Computed, not measured: a relaxed structure of TlReIr at the GGA-PBE level of DFT.

Geometry as CIF:
```
data_TlReIr
_chemical_formula_sum 'Tl1 Re1 Ir1'
_cell_length_a 2.9181
_cell_length_b 2.9181
_cell_length_c 7.1149
_cell_angle_alpha 90.00
_cell_angle_beta 90.00
_cell_angle_gamma 120.00
_symmetry_space_group_name_H-M 'P 3 m 1'
_symmetry_Int_Tables_number 156
loop_
_symmetry_equiv_pos_as_xyz
'x,y,z'
'-y,x-y,z'
'-x+y,-x,z'
'-y,-x,z'
'-x+y,y,z'
'x,x-y,z'
loop_
_atom_site_label
_atom_site_fract_x
_atom_site_fract_y
_atom_site_fract_z
Tl1 0.0000 0.0000 0.0000
Re1 0.6667 0.3333 0.6388
Ir1 0.3333 0.6667 0.3567
```

As for the formation enthalpy at 0 K: 0.58 eV per atom. For the offset from the most stable computed form, the calculation gives 99.1 meV per atom. The total energy is -7.31 eV/atom.